A relaxed Mg5Hg4Pb crystal, computed with PBE-GGA.

Space group   No. 123
E_form   -187.4 meV/atom
Size of the total moment   0.00 Bohr magnetons per cell

Cell: 3.506 3.506 18.228 Å, 90.00 90.00 90.00°
Sites, in units of the cell vectors:
Mg: 0.000 0.000 0.000
Mg: 0.000 0.000 0.189
Mg: 0.000 0.000 0.378
Mg: 0.000 0.000 0.622
Mg: 0.000 0.000 0.811
Hg: 0.500 0.500 0.095
Hg: 0.500 0.500 0.287
Hg: 0.500 0.500 0.713
Hg: 0.500 0.500 0.905
Pb: 0.500 0.500 0.500

A relaxed Mg4Hg2Pb5 crystal, computed with PBE-GGA.

Space group   No. 10
E_form   -58.7 meV/atom
Size of the total moment   0.00 Bohr magnetons per cell

Cell: 8.251 3.444 10.338 Å, 90.00 97.57 90.00°
Sites, in units of the cell vectors:
Mg: 0.208 0.000 0.360
Mg: 0.216 0.000 0.924
Mg: 0.784 0.000 0.076
Mg: 0.792 0.000 0.640
Hg: 0.096 0.500 0.136
Hg: 0.904 0.500 0.864
Pb: 0.145 0.500 0.636
Pb: 0.485 0.500 0.168
Pb: 0.500 0.500 0.500
Pb: 0.515 0.500 0.832
Pb: 0.855 0.500 0.364

A relaxed MgHg4Pb4 crystal, computed with PBE-GGA.

Space group   No. 87
E_form   -11.4 meV/atom
Size of the total moment   0.00 Bohr magnetons per cell

Cell: 8.662 8.662 8.662 Å, 92.28 92.28 156.99°
Sites, in units of the cell vectors:
Mg: 0.000 0.000 0.000
Hg: 0.331 0.619 0.950
Hg: 0.381 0.331 0.712
Hg: 0.619 0.669 0.288
Hg: 0.669 0.381 0.050
Pb: 0.067 0.666 0.733
Pb: 0.334 0.067 0.401
Pb: 0.666 0.933 0.599
Pb: 0.933 0.334 0.267

A relaxed Mg14HgPb crystal, computed with PBE-GGA.

Space group   No. 123
E_form   -31.3 meV/atom
Size of the total moment   0.00 Bohr magnetons per cell

Cell: 6.517 6.517 8.674 Å, 90.00 90.00 90.00°
Sites, in units of the cell vectors:
Mg: 0.000 0.000 0.000
Mg: 0.000 0.500 0.000
Mg: 0.000 0.500 0.500
Mg: 0.244 0.244 0.249
Mg: 0.244 0.244 0.751
Mg: 0.244 0.756 0.249
Mg: 0.244 0.756 0.751
Mg: 0.500 0.000 0.000
Mg: 0.500 0.000 0.500
Mg: 0.500 0.500 0.000
Mg: 0.756 0.244 0.249
Mg: 0.756 0.244 0.751
Mg: 0.756 0.756 0.249
Mg: 0.756 0.756 0.751
Hg: 0.000 0.000 0.500
Pb: 0.500 0.500 0.500

A relaxed MgHgPb6 crystal, computed with PBE-GGA.

Space group   No. 65
E_form   1.0 meV/atom
Size of the total moment   0.00 Bohr magnetons per cell
Energy above the most stable polymorph in this dataset   0.0 kJ per mole of atoms

Cell: 7.017 7.017 4.808 Å, 90.00 90.00 90.19°
Sites, in units of the cell vectors:
Mg: 0.000 0.000 0.000
Hg: 0.500 0.500 0.000
Pb: 0.000 0.500 0.000
Pb: 0.245 0.755 0.500
Pb: 0.246 0.246 0.500
Pb: 0.500 0.000 0.000
Pb: 0.754 0.754 0.500
Pb: 0.755 0.245 0.500

A relaxed Mg2Hg9Pb crystal, computed with PBE-GGA.

Space group   No. 47
E_form   -31.3 meV/atom
Size of the total moment   0.00 Bohr magnetons per cell

Cell: 4.492 4.501 14.638 Å, 90.00 90.00 90.00°
Sites, in units of the cell vectors:
Mg: 0.000 0.000 0.157
Mg: 0.000 0.000 0.843
Hg: 0.000 0.500 0.000
Hg: 0.000 0.500 0.321
Hg: 0.000 0.500 0.679
Hg: 0.500 0.000 0.000
Hg: 0.500 0.000 0.320
Hg: 0.500 0.000 0.680
Hg: 0.500 0.500 0.163
Hg: 0.500 0.500 0.500
Hg: 0.500 0.500 0.837
Pb: 0.000 0.000 0.500

A relaxed Mg4HgPb3 crystal, computed with PBE-GGA.

Space group   No. 65
E_form   24.1 meV/atom
Size of the total moment   0.00 Bohr magnetons per cell
Energy above the most stable polymorph in this dataset   11.8 kJ per mole of atoms

Cell: 7.882 7.882 3.541 Å, 90.00 90.00 101.53°
Sites, in units of the cell vectors:
Mg: 0.238 0.238 0.500
Mg: 0.241 0.759 0.000
Mg: 0.759 0.241 0.000
Mg: 0.762 0.762 0.500
Hg: 0.000 0.000 0.000
Pb: 0.000 0.500 0.500
Pb: 0.500 0.000 0.500
Pb: 0.500 0.500 0.000

A relaxed Mg2HgPb crystal, computed with PBE-GGA.

Space group   No. 71
E_form   121.0 meV/atom
Size of the total moment   0.00 Bohr magnetons per cell
Energy above the most stable polymorph in this dataset   25.6 kJ per mole of atoms

Cell: 6.762 6.762 6.762 Å, 150.33 133.27 56.34°
Sites, in units of the cell vectors:
Mg: 0.239 0.239 0.000
Mg: 0.761 0.761 0.000
Hg: 0.000 0.000 0.000
Pb: 0.500 0.500 0.000

A relaxed MgHg6Pb crystal, computed with PBE-GGA.

Space group   No. 2
E_form   -2.0 meV/atom
Size of the total moment   0.00 Bohr magnetons per cell
Energy above the most stable polymorph in this dataset   1.6 kJ per mole of atoms

Cell: 5.975 6.171 6.385 Å, 104.70 101.41 105.92°
Sites, in units of the cell vectors:
Mg: 0.000 0.000 0.000
Hg: 0.017 0.478 0.249
Hg: 0.489 0.243 0.385
Hg: 0.498 0.756 0.097
Hg: 0.502 0.244 0.903
Hg: 0.511 0.757 0.615
Hg: 0.983 0.522 0.751
Pb: 0.000 0.000 0.500

A relaxed Mg2HgPb crystal, computed with PBE-GGA.

Space group   No. 122
E_form   43.6 meV/atom
Size of the total moment   0.00 Bohr magnetons per cell
Energy above the most stable polymorph in this dataset   18.2 kJ per mole of atoms

Cell: 10.444 10.444 10.444 Å, 154.39 154.39 36.53°
Sites, in units of the cell vectors:
Mg: 0.104 0.625 0.979
Mg: 0.375 0.354 0.479
Mg: 0.646 0.125 0.021
Mg: 0.875 0.896 0.521
Hg: 0.000 0.000 0.000
Hg: 0.750 0.250 0.500
Pb: 0.250 0.750 0.500
Pb: 0.500 0.500 0.000

A relaxed Mg7Hg2Pb crystal, computed with PBE-GGA.

Space group   No. 156
E_form   -96.5 meV/atom
Size of the total moment   0.00 Bohr magnetons per cell

Cell: 4.838 4.838 11.968 Å, 90.00 90.00 120.00°
Sites, in units of the cell vectors:
Mg: 0.000 0.000 0.000
Mg: 0.000 0.000 0.252
Mg: 0.000 0.000 0.718
Mg: 0.333 0.667 0.400
Mg: 0.333 0.667 0.903
Mg: 0.667 0.333 0.110
Mg: 0.667 0.333 0.554
Hg: 0.000 0.000 0.485
Hg: 0.333 0.667 0.151
Pb: 0.667 0.333 0.820

A relaxed MgHgPb2 crystal, computed with PBE-GGA.

Space group   No. 47
E_form   2.6 meV/atom
Size of the total moment   0.00 Bohr magnetons per cell

Cell: 3.649 5.431 5.593 Å, 90.00 90.00 90.00°
Sites, in units of the cell vectors:
Mg: 0.000 0.000 0.000
Hg: 0.500 0.000 0.500
Pb: 0.000 0.500 0.500
Pb: 0.500 0.500 0.000

A relaxed MgHgPb2 crystal, computed with PBE-GGA.

Space group   No. 71
E_form   6.8 meV/atom
Size of the total moment   0.00 Bohr magnetons per cell

Cell: 6.432 6.432 6.432 Å, 147.61 128.19 62.44°
Sites, in units of the cell vectors:
Mg: 0.000 0.000 0.000
Hg: 0.500 0.500 0.000
Pb: 0.246 0.746 0.500
Pb: 0.754 0.254 0.500

A relaxed Mg9HgPb2 crystal, computed with PBE-GGA.

Space group   No. 123
E_form   -81.3 meV/atom
Size of the total moment   0.00 Bohr magnetons per cell

Cell: 4.531 4.531 13.494 Å, 90.00 90.00 90.00°
Sites, in units of the cell vectors:
Mg: 0.000 0.000 0.000
Mg: 0.000 0.000 0.329
Mg: 0.000 0.000 0.671
Mg: 0.000 0.500 0.157
Mg: 0.000 0.500 0.500
Mg: 0.000 0.500 0.843
Mg: 0.500 0.000 0.157
Mg: 0.500 0.000 0.500
Mg: 0.500 0.000 0.843
Hg: 0.500 0.500 0.000
Pb: 0.500 0.500 0.330
Pb: 0.500 0.500 0.670

A relaxed Mg9Hg2Pb crystal, computed with PBE-GGA.

Space group   No. 123
E_form   -115.4 meV/atom
Size of the total moment   0.00 Bohr magnetons per cell

Cell: 4.479 4.479 13.290 Å, 90.00 90.00 90.00°
Sites, in units of the cell vectors:
Mg: 0.000 0.000 0.000
Mg: 0.000 0.000 0.339
Mg: 0.000 0.000 0.661
Mg: 0.000 0.500 0.177
Mg: 0.000 0.500 0.500
Mg: 0.000 0.500 0.823
Mg: 0.500 0.000 0.177
Mg: 0.500 0.000 0.500
Mg: 0.500 0.000 0.823
Hg: 0.500 0.500 0.338
Hg: 0.500 0.500 0.662
Pb: 0.500 0.500 0.000

A relaxed Mg7Hg2Pb2 crystal, computed with PBE-GGA.

Space group   No. 44
E_form   -102.0 meV/atom
Size of the total moment   0.00 Bohr magnetons per cell
Energy above the most stable polymorph in this dataset   0.0 kJ per mole of atoms

Cell: 8.351 8.351 8.351 Å, 148.15 69.97 119.54°
Sites, in units of the cell vectors:
Mg: 0.000 0.000 0.000
Mg: 0.119 0.443 0.676
Mg: 0.202 0.853 0.349
Mg: 0.504 0.853 0.651
Mg: 0.525 0.671 0.854
Mg: 0.766 0.443 0.324
Mg: 0.817 0.671 0.146
Hg: 0.352 0.140 0.212
Hg: 0.928 0.140 0.788
Pb: 0.368 0.368 0.000
Pb: 0.726 0.226 0.500

A relaxed Mg3Hg8Pb2 crystal, computed with PBE-GGA.

Space group   No. 10
E_form   -41.3 meV/atom
Size of the total moment   0.00 Bohr magnetons per cell

Cell: 6.745 3.515 13.928 Å, 90.00 92.94 90.00°
Sites, in units of the cell vectors:
Mg: 0.000 0.000 0.000
Mg: 0.119 0.500 0.787
Mg: 0.881 0.500 0.213
Hg: 0.047 0.000 0.367
Hg: 0.256 0.500 0.127
Hg: 0.278 0.500 0.520
Hg: 0.368 0.000 0.913
Hg: 0.632 0.000 0.087
Hg: 0.722 0.500 0.480
Hg: 0.744 0.500 0.873
Hg: 0.953 0.000 0.633
Pb: 0.498 0.000 0.306
Pb: 0.502 0.000 0.694

A relaxed MgHg12Pb16 crystal, computed with PBE-GGA.

Space group   No. 8
E_form   24.2 meV/atom
Size of the total moment   0.00 Bohr magnetons per cell

Cell: 10.397 10.397 9.875 Å, 108.49 108.49 110.82°
Sites, in units of the cell vectors:
Mg: 0.000 0.000 0.000
Hg: 0.066 0.712 0.465
Hg: 0.073 0.895 0.255
Hg: 0.282 0.282 0.096
Hg: 0.335 0.510 0.930
Hg: 0.510 0.335 0.930
Hg: 0.523 0.875 0.078
Hg: 0.532 0.532 0.450
Hg: 0.712 0.066 0.465
Hg: 0.727 0.908 0.690
Hg: 0.875 0.523 0.078
Hg: 0.895 0.073 0.255
Hg: 0.908 0.727 0.690
Pb: 0.030 0.409 0.592
Pb: 0.058 0.058 0.607
Pb: 0.093 0.404 0.272
Pb: 0.130 0.689 0.971
Pb: 0.287 0.978 0.870
Pb: 0.325 0.325 0.560
Pb: 0.388 0.710 0.673
Pb: 0.389 0.725 0.316
Pb: 0.404 0.093 0.272
Pb: 0.409 0.030 0.592
Pb: 0.682 0.682 0.911
Pb: 0.689 0.130 0.971
Pb: 0.710 0.388 0.673
Pb: 0.716 0.716 0.292
Pb: 0.725 0.389 0.316
Pb: 0.978 0.287 0.870

A relaxed MgHg6Pb3 crystal, computed with PBE-GGA.

Space group   No. 11
E_form   -6.5 meV/atom
Size of the total moment   0.00 Bohr magnetons per cell

Cell: 9.566 3.327 17.485 Å, 90.00 96.96 90.00°
Sites, in units of the cell vectors:
Mg: 0.248 0.250 0.138
Mg: 0.752 0.750 0.862
Hg: 0.013 0.250 0.885
Hg: 0.072 0.250 0.571
Hg: 0.225 0.750 0.994
Hg: 0.299 0.250 0.444
Hg: 0.396 0.750 0.263
Hg: 0.465 0.750 0.900
Hg: 0.535 0.250 0.100
Hg: 0.604 0.250 0.737
Hg: 0.701 0.750 0.556
Hg: 0.775 0.250 0.006
Hg: 0.928 0.750 0.429
Hg: 0.987 0.750 0.115
Pb: 0.083 0.250 0.294
Pb: 0.239 0.250 0.757
Pb: 0.390 0.750 0.609
Pb: 0.610 0.250 0.391
Pb: 0.761 0.750 0.243
Pb: 0.917 0.750 0.706

A relaxed MgHgPb2 crystal, computed with PBE-GGA.

Space group   No. 123
E_form   -6.6 meV/atom
Size of the total moment   0.00 Bohr magnetons per cell

Cell: 3.483 3.483 9.123 Å, 90.00 90.00 90.00°
Sites, in units of the cell vectors:
Mg: 0.000 0.000 0.000
Hg: 0.000 0.000 0.500
Pb: 0.500 0.500 0.234
Pb: 0.500 0.500 0.766